The following is a PBE-GGA calculation of a relaxed Ta2GaReH crystal, from the Alexandria database.

Calculated values
Uncorrected energy in eV per cell: -42.75

a = 4.153 Å, b = 4.153 Å, c = 3.949 Å
α = 90.00°, β = 90.00°, γ = 90.00°
Space group P4/mmm (No. 123)
Symmetry-distinct sites (fractional):
Ta: 0.000 0.500 0.000 (multiplicity 2)
Ga: 0.000 0.000 0.500 (multiplicity 1)
Re: 0.500 0.500 0.500 (multiplicity 1)
H: 0.500 0.500 0.000 (multiplicity 1)